No. 1
CaLa2Co | PBEsol | relaxed

Calculated values
The value obtained for the uncorrected energy is -18.93 eV/cell. The calculation puts the formation enthalpy at 0 K at 1.63 eV/f.u.

Cell lengths 4.3852, 4.3852, 6.1340 Å; angles 110.94, 110.94, 90.00 degrees
Closest atoms and distances in Å follow each position.
Fractional coordinates of all 4 atoms:
La  0.0000  0.0000  0.0000  4 Ca 3.10, 4 La 3.44, 4 Co 3.44
La  0.7500  0.2500  0.5000  4 Co 3.10, 4 La 3.44, 4 Ca 3.44
Ca  0.5000  0.5000  0.0000  8 La 3.10-3.44, 4 Co 3.44
Co  0.2500  0.7500  0.5000  8 La 3.10-3.44, 4 Ca 3.44

***

No. 2
Y5Ag3 | PBEsol | relaxed

Calculated values
The value obtained for the uncorrected energy is -91.17 eV/cell. The calculation puts the formation enthalpy at 0 K at -1.54 eV/f.u.

Cell lengths 6.2247, 8.6606, 8.6606 Å; angles 120.00, 90.00, 90.00 degrees
Closest atoms and distances in Å follow each position.
Fractional coordinates of all 16 atoms:
Y  0.7500  0.7601  0.7601  3 Ag 3.04-3.10
Y  0.5000  0.3333  0.6667  6 Ag 3.06, 2 Y 3.11
Y  0.7500  0.2399  0.0000  3 Ag 3.04-3.10
Y  0.7500  0.0000  0.2399  3 Ag 3.04-3.10
Y  0.0000  0.6667  0.3333  6 Ag 3.06, 2 Y 3.11
Y  0.2500  0.7601  0.0000  3 Ag 3.04-3.10
Y  0.2500  0.0000  0.7601  3 Ag 3.04-3.10
Y  0.2500  0.2399  0.2399  3 Ag 3.04-3.10
Y  0.0000  0.3333  0.6667  6 Ag 3.06, 2 Y 3.11
Y  0.5000  0.6667  0.3333  6 Ag 3.06, 2 Y 3.11
Ag  0.7500  0.5973  0.0000  7 Y 3.04-3.10
Ag  0.7500  0.4027  0.4027  7 Y 3.04-3.10
Ag  0.7500  0.0000  0.5973  7 Y 3.04-3.10
Ag  0.2500  0.5973  0.5973  7 Y 3.04-3.10
Ag  0.2500  0.0000  0.4027  7 Y 3.04-3.10
Ag  0.2500  0.4027  0.0000  7 Y 3.04-3.10

***

No. 3
MgZn2MoRh | PBEsol | relaxed

Calculated values
The value obtained for the uncorrected energy is -20.22 eV/cell. The calculation puts the formation enthalpy at 0 K at 4.56 eV/f.u.

Cell lengths 4.5517, 4.8185, 4.8185 Å; angles 90.00, 90.00, 90.00 degrees
Closest atoms and distances in Å follow each position.
Fractional coordinates of all 5 atoms:
Zn  0.0000  0.5000  0.0000  2 Mo 2.41
Zn  0.0000  0.0000  0.5000  2 Mo 2.41
Mo  0.0000  0.0000  0.0000  2 Rh 2.28, 4 Zn 2.41
Rh  0.5000  0.0000  0.0000  2 Mo 2.28
Mg  0.5000  0.5000  0.5000  8 Zn 3.31, 4 Rh 3.41

***

No. 4
CaGe7N10 | PBEsol | relaxed

Calculated values
The value obtained for the uncorrected energy is -253.56 eV/cell.

Cell lengths 7.1304, 7.1833, 10.1879 Å; angles 90.00, 105.14, 90.00 degrees
Closest atoms and distances in Å follow each position.
Fractional coordinates of all 36 atoms:
Ge  0.2992  0.3756  0.3841  4 N 1.82-1.84
Ge  0.1140  0.3938  0.0749  4 N 1.81-1.87
Ge  0.4878  0.3694  0.6890  4 N 1.82-1.84
Ge  0.8510  0.3751  0.3129  4 N 1.80-1.90
Ge  0.4878  0.6306  0.1890  4 N 1.82-1.84
Ge  0.6650  0.6356  0.4935  4 N 1.81-1.85
Ge  0.3483  0.9754  0.5200  4 N 1.78-1.91
Ge  0.5453  0.9728  0.8262  4 N 1.79-1.90
Ge  0.6650  0.3644  0.9935  4 N 1.81-1.85
Ge  0.2992  0.6244  0.8841  4 N 1.82-1.84
Ge  0.3483  0.0246  0.0200  4 N 1.78-1.91
Ge  0.8510  0.6249  0.8129  4 N 1.80-1.90
Ge  0.1140  0.6062  0.5749  4 N 1.81-1.87
Ge  0.5453  0.0272  0.3262  4 N 1.79-1.90
N  0.7685  0.8604  0.8242  2 Ge 1.79-1.80
N  0.0809  0.4186  0.4436  3 Ge 1.84-1.87
N  0.5767  0.1242  0.9822  3 Ge 1.83-1.91
N  0.2887  0.5041  0.7251  3 Ge 1.82-1.85
N  0.5767  0.8758  0.4822  3 Ge 1.83-1.91
N  0.1401  0.8481  0.5341  2 Ge 1.78-1.81
N  0.0809  0.5814  0.9436  3 Ge 1.84-1.87
N  0.2887  0.4959  0.2251  3 Ge 1.82-1.85
N  0.3174  0.8757  0.8638  3 Ge 1.83-1.90
N  0.5003  0.4588  0.5235  3 Ge 1.81-1.83
N  0.8877  0.6287  0.6344  3 Ge 1.84-1.90
N  0.7685  0.1396  0.3242  2 Ge 1.79-1.80
N  0.7095  0.4128  0.8259  3 Ge 1.84-1.85
N  0.8877  0.3713  0.1344  3 Ge 1.84-1.90
N  0.3174  0.1243  0.3638  3 Ge 1.83-1.90
N  0.1401  0.1519  0.0341  2 Ge 1.78-1.81
N  0.4564  0.8814  0.1734  3 Ge 1.82-1.86
N  0.7095  0.5872  0.3259  3 Ge 1.84-1.85
N  0.4564  0.1186  0.6734  3 Ge 1.82-1.86
N  0.5003  0.5412  0.0235  3 Ge 1.81-1.83
Ca  0.9053  0.9814  0.6383  4 N 2.40-2.58
Ca  0.9053  0.0186  0.1383  4 N 2.40-2.58

***

No. 5
La3BMo | PBEsol | relaxed

Calculated values
The value obtained for the uncorrected energy is -30.96 eV/cell. The calculation puts the formation enthalpy at 0 K at 3.86 eV/f.u.

Cell lengths 5.1444, 5.1444, 5.1444 Å; angles 90.00, 90.00, 90.00 degrees
Closest atoms and distances in Å follow each position.
Fractional coordinates of all 5 atoms:
La  0.5000  0.0000  0.0000  2 B 2.57
La  0.0000  0.0000  0.5000  2 B 2.57
La  0.0000  0.5000  0.0000  2 B 2.57
Mo  0.5000  0.5000  0.5000  12 La 3.64
B  0.0000  0.0000  0.0000  6 La 2.57

***

No. 6
CoAgBr2 | PBEsol | relaxed

Calculated values
The value obtained for the uncorrected energy is -28.71 eV/cell.

Cell lengths 5.9851, 5.9851, 6.8463 Å; angles 115.92, 115.92, 90.00 degrees
Closest atoms and distances in Å follow each position.
Fractional coordinates of all 8 atoms:
Br  0.1250  0.1672  0.7500  2 Co 2.37
Br  0.8328  0.3750  0.2500  2 Co 2.37
Br  0.6250  0.5828  0.7500  2 Co 2.37
Br  0.4172  0.8750  0.2500  2 Co 2.37
Ag  0.2500  0.7500  0.5000  4 Br 2.67
Ag  0.0000  0.0000  0.0000  4 Br 2.67
Co  0.7500  0.2500  0.5000  4 Br 2.37
Co  0.5000  0.5000  0.0000  4 Br 2.37

***

No. 7
ZrMnFe2 | PBEsol | relaxed

Calculated values
The value obtained for the uncorrected energy is -36.09 eV/cell. The calculation puts the formation enthalpy at 0 K at 0.69 eV/f.u.

Cell lengths 2.6780, 3.8294, 5.2851 Å; angles 90.00, 104.53, 90.00 degrees
Closest atoms and distances in Å follow each position.
Fractional coordinates of all 4 atoms:
Fe  0.7414  0.0000  0.7951  1 Fe 2.26, 2 Mn 2.37
Fe  0.2586  0.0000  0.2049  1 Fe 2.26, 2 Mn 2.37
Mn  0.5000  0.5000  0.0000  4 Fe 2.37, 2 Zr 2.65
Zr  0.0000  0.5000  0.5000  2 Mn 2.65, 8 Fe 2.67-2.91, 2 Zr 2.68

***

No. 8
BaPdW2 | PBEsol | relaxed

Calculated values
The value obtained for the uncorrected energy is -29.70 eV/cell. The calculation puts the formation enthalpy at 0 K at 6.02 eV/f.u.

Cell lengths 4.6769, 4.6769, 4.6769 Å; angles 60.00, 60.00, 60.00 degrees
Closest atoms and distances in Å follow each position.
Fractional coordinates of all 4 atoms:
Ba  0.5000  0.5000  0.5000  8 W 2.86
W  0.2500  0.2500  0.2500  4 Pd 2.86, 4 Ba 2.86
W  0.7500  0.7500  0.7500  4 Ba 2.86, 4 Pd 2.86
Pd  0.0000  0.0000  0.0000  8 W 2.86

***

No. 9
AsIr2O | PBEsol | relaxed

Calculated values
The value obtained for the uncorrected energy is -28.70 eV/cell.

Cell lengths 4.1296, 4.1296, 4.1296 Å; angles 60.00, 60.00, 60.00 degrees
Closest atoms and distances in Å follow each position.
Fractional coordinates of all 4 atoms:
As  0.5000  0.5000  0.5000  8 Ir 2.53
Ir  0.7500  0.7500  0.7500  4 O 2.53, 4 As 2.53
Ir  0.2500  0.2500  0.2500  4 O 2.53, 4 As 2.53
O  0.0000  0.0000  0.0000  8 Ir 2.53

***

No. 10
SrCa2Se | PBEsol | relaxed

Calculated values
The value obtained for the uncorrected energy is -13.32 eV/cell.

Cell lengths 3.6944, 3.6944, 9.8152 Å; angles 90.00, 90.00, 90.00 degrees
Closest atoms and distances in Å follow each position.
Fractional coordinates of all 4 atoms:
Se  0.5000  0.5000  0.0000  8 Ca 3.12
Ca  0.0000  0.0000  0.8267  4 Se 3.12, 1 Ca 3.40
Ca  0.0000  0.0000  0.1733  4 Se 3.12, 1 Ca 3.40
Sr  0.5000  0.5000  0.5000  4 Sr 3.69, 8 Ca 4.14